The following is a PBE-GGA calculation of crystalline Ho5ErRu4 at its relaxed geometry, from Alexandria via LeMat-Bulk.

```
data_Ho5ErRu4
_space_group_name_H-M_alt 'P 1'
_space_group_IT_number 1
_cell_length_a 4.815
_cell_length_b 6.683
_cell_length_c 7.543
_cell_angle_alpha 89.99
_cell_angle_beta 108.61
_cell_angle_gamma 90.00
loop_
_space_group_symop_operation_xyz
'x,y,z'
loop_
_atom_site_label
_atom_site_type_symbol
_atom_site_fract_x
_atom_site_fract_y
_atom_site_fract_z
Ho1 Ho 0.166 0.003 0.332
Ho2 Ho 0.833 0.498 0.667
Ho3 Ho 0.834 0.997 0.668
Er1 Er 0.500 0.000 0.000
Ru1 Ru 0.335 0.249 0.671
Ru2 Ru 0.999 0.250 0.998
Ru3 Ru 0.001 0.750 0.002
Ru4 Ru 0.665 0.751 0.329
Ho4 Ho 0.167 0.502 0.333
Ho5 Ho 0.500 0.500 0.000
```

Results
* density of states at the Fermi level: 7.57 states/eV per cell
* space-group type: C2/m (12)
* energy of formation from the pure elements: -3.02 eV/f.u.